Record 1
Below is a geometry-optimized Dy2SiPd8 structure, with properties calculated at the PBE-GGA level.

Uncorrected energy ... -5.836 eV per atom
Formation energy without anion corrections ... -0.730 eV/atom

```
Dy2SiPd8
1.0
4.643 0.000 0.000
0.000 5.877 -0.174
-2.321 -2.733 7.060
Dy Si Pd
2 1 8
direct
0.813 0.313 0.625
0.187 0.687 0.375
0.500 0.000 0.000
0.371 0.617 0.742
0.629 0.874 0.258
0.816 0.816 0.631
0.000 0.239 0.000
0.184 0.184 0.369
0.371 0.126 0.742
0.629 0.383 0.258
0.000 0.761 0.000
```

Record 2
Below is a geometry-optimized Dy3Si4Pd structure, with properties calculated at the PBE-GGA level.

Uncorrected energy ... -5.741 eV per atom
Formation energy without anion corrections ... -0.654 eV/atom

```
Dy3Si4Pd
1.0
-0.601 3.463 -2.410
1.127 -3.043 -4.652
-7.330 -1.871 2.906
Dy Si Pd
3 4 1
direct
0.193 0.193 0.387
0.807 0.807 0.613
0.000 0.500 0.000
0.379 0.586 0.758
0.621 0.414 0.242
0.621 0.828 0.242
0.379 0.172 0.758
0.500 0.000 0.000
```

Record 3
Below is a geometry-optimized DySi3Pd structure, with properties calculated at the PBE-GGA level.

Uncorrected energy ... -5.762 eV per atom
Formation energy without anion corrections ... -0.549 eV/atom

```
DySi3Pd
1.0
-2.924 -1.116 4.544
2.284 -5.181 -0.827
4.347 1.414 3.145
Dy Si Pd
2 6 2
direct
0.184 0.660 0.750
0.816 0.340 0.250
0.685 0.778 0.975
0.315 0.222 0.475
0.342 0.608 0.250
0.315 0.222 0.025
0.658 0.392 0.750
0.685 0.778 0.525
0.963 0.109 0.750
0.037 0.891 0.250
```

Record 4
Below is a geometry-optimized Dy12SiPd6 structure, with properties calculated at the PBE-GGA level.

Uncorrected energy ... -5.335 eV per atom
Formation energy without anion corrections ... -0.503 eV/atom

```
Dy12SiPd6
1.0
-6.759 4.552 1.577
0.725 -4.132 7.162
5.924 5.731 0.974
Dy Si Pd
12 1 6
direct
0.823 0.587 0.425
0.425 0.823 0.587
0.587 0.425 0.823
0.177 0.413 0.575
0.575 0.177 0.413
0.413 0.575 0.177
0.083 0.944 0.324
0.056 0.676 0.917
0.676 0.917 0.056
0.917 0.056 0.676
0.944 0.324 0.083
0.324 0.083 0.944
0.000 0.000 0.000
0.680 0.863 0.383
0.617 0.320 0.137
0.137 0.617 0.320
0.320 0.137 0.617
0.383 0.680 0.863
0.863 0.383 0.680
```

Record 5
Below is a geometry-optimized DySi2Pd5 structure, with properties calculated at the PBE-GGA level.

Uncorrected energy ... -5.953 eV per atom
Formation energy without anion corrections ... -0.776 eV/atom

```
DySi2Pd5
1.0
-1.879 1.002 3.218
-5.415 -3.273 0.171
0.302 -4.886 4.011
Dy Si Pd
1 2 5
direct
0.000 0.000 0.000
0.754 0.746 0.746
0.246 0.254 0.254
0.000 0.500 0.500
0.649 0.550 0.152
0.351 0.450 0.848
0.351 0.848 0.450
0.649 0.152 0.550
```

Record 6
Below is a geometry-optimized DySi2Pd8 structure, with properties calculated at the PBE-GGA level.

Uncorrected energy ... -5.581 eV per atom
Formation energy without anion corrections ... -0.400 eV/atom

```
DySi2Pd8
1.0
5.854 0.000 0.000
0.000 5.854 0.000
0.000 0.000 5.771
Dy Si Pd
1 2 8
direct
0.500 0.500 0.500
0.500 0.000 0.000
0.000 0.500 0.000
0.769 0.769 0.240
0.769 0.231 0.760
0.769 0.769 0.760
0.769 0.231 0.240
0.231 0.769 0.240
0.231 0.769 0.760
0.231 0.231 0.240
0.231 0.231 0.760
```

Among the records above, which one has the lowest uncorrected energy?
DySi2Pd5

Which formula does entry 5 have?
DySi2Pd5

Among the records above, which one has the lowest formation energy without anion corrections?
DySi2Pd5